! SrLa2Si, relaxed, DFT GGA-PBE; values from VASP
&SYSTEM
  ibrav = 0, nat = 4, ntyp = 3
/
ATOMIC_SPECIES
La 138.91 La.upf
Si 28.09 Si.upf
Sr 87.62 Sr.upf
CELL_PARAMETERS angstrom
-2.509 -1.168 -4.828
-4.745 -2.907 -0.037
-4.789 2.506 -1.325
ATOMIC_POSITIONS crystal
La 0.000 0.000 0.000
La 0.250 0.250 0.250
Si 0.500 0.500 0.500
Sr 0.750 0.750 0.750
! Space-group type: F-43m
! Crystal system: cubic

***

! AgMoBr2, relaxed, DFT GGA-PBE; values from VASP
&SYSTEM
  ibrav = 0, nat = 4, ntyp = 3
/
ATOMIC_SPECIES
Mo 95.94 Mo.upf
Br 79.90 Br.upf
Ag 107.87 Ag.upf
CELL_PARAMETERS angstrom
-2.977 0.630 -1.394
0.415 -1.085 3.139
0.540 10.143 3.436
ATOMIC_POSITIONS crystal
Mo 0.500 0.500 0.250
Br 0.000 0.000 0.059
Br 0.000 0.000 0.441
Ag 0.500 0.500 0.750
! Space-group type: Cmmm
! Energy above the most stable polymorph in this dataset, eV per atom: 0.2296
! Crystal system: orthorhombic

***

! InI2OF, relaxed, DFT GGA-PBE; values from VASP
&SYSTEM
  ibrav = 0, nat = 5, ntyp = 4
/
ATOMIC_SPECIES
I 126.90 I.upf
F 19.00 F.upf
O 16.00 O.upf
In 114.82 In.upf
CELL_PARAMETERS angstrom
6.227 0.000 0.000
0.000 6.227 0.000
0.000 0.000 3.851
ATOMIC_POSITIONS crystal
I 0.000 0.500 0.000
I 0.500 0.000 0.000
F 0.500 0.500 0.500
O 0.000 0.000 0.500
In 0.000 0.000 0.000
! Space-group type: P4/mmm
! Energy above the most stable polymorph in this dataset, eV per atom: 0.0000
! Crystal system: tetragonal

***

| no. | total energy (eV per atom) |
| --- | --- |
| 1 | -4.10 |
| 2 | -3.88 |
| 3 | -2.76 |